# 1
Compound: LiSc2CrCl
Source: Alexandria via LeMat-Bulk
Functional: GGA-PBE
Structure: relaxed

a b c (Å): 4.898 4.898 4.094
angles (deg): 90.00 90.00 90.00
Space group P4/mmm (No. 123)
One atom of each set of equivalent atoms:
1 Li 0.000 0.000 0.000 x1
2 Sc 0.000 0.500 0.500 x2
3 Cr 0.500 0.500 0.000 x1
4 Cl 0.500 0.500 0.500 x1

**Formation energy from raw total energies**: 0.6 eV/f.u.



# 2
Compound: AcZrSe3
Source: Alexandria via LeMat-Bulk
Functional: GGA-PBE
Structure: relaxed

a b c (Å): 6.549 7.879 12.626
angles (deg): 90.00 117.12 90.00
Space group P2_1/c (No. 14)
One atom of each set of equivalent atoms:
1 Ac 0.056 0.092 0.196 x4
2 Zr 0.272 0.520 0.073 x4
3 Se 0.045 0.247 0.950 x4
4 Se 0.338 0.660 0.899 x4
5 Se 0.383 0.096 0.791 x4

**Polymorph energy (0 for the lowest one)**: 34 meV/atom
**Formation energy from raw total energies**: -7.8 eV/f.u.



formation energy from raw total energies of number 1 (LiSc2CrCl)? 0.6 eV/f.u.



Copy entry 1 word for word.
Compound: LiSc2CrCl
Source: Alexandria via LeMat-Bulk
Functional: GGA-PBE
Structure: relaxed

a b c (Å): 4.898 4.898 4.094
angles (deg): 90.00 90.00 90.00
Space group P4/mmm (No. 123)
One atom of each set of equivalent atoms:
1 Li 0.000 0.000 0.000 x1
2 Sc 0.000 0.500 0.500 x2
3 Cr 0.500 0.500 0.000 x1
4 Cl 0.500 0.500 0.500 x1

**Formation energy from raw total energies**: 0.6 eV/f.u.



Repeat the first record exactly.
Compound: LiSc2CrCl
Source: Alexandria via LeMat-Bulk
Functional: GGA-PBE
Structure: relaxed

a b c (Å): 4.898 4.898 4.094
angles (deg): 90.00 90.00 90.00
Space group P4/mmm (No. 123)
One atom of each set of equivalent atoms:
1 Li 0.000 0.000 0.000 x1
2 Sc 0.000 0.500 0.500 x2
3 Cr 0.500 0.500 0.000 x1
4 Cl 0.500 0.500 0.500 x1

**Formation energy from raw total energies**: 0.6 eV/f.u.